First-principles (GGA-PBE) data for an optimized crystal structure of Ca4H2N, as listed in the Alexandria database.

Summary:
DOS(E_F), states/eV/atom: 0.45
SG: I-42m, No. 121
Spin magnetization, Bohr magnetons per cell: 0.0
Energy, eV/atom: -3.72

Cell lengths 6.0258, 6.0258, 6.1675 Å; angles 119.24, 119.24, 90.00 degrees
Fractional positions:
1 H 0.2500 0.7500 0.5000
2 H 0.7500 0.2500 0.5000
3 N 0.5000 0.5000 0.0000
4 Ca 0.8556 0.4070 0.2626
5 Ca 0.1444 0.1444 0.7374
6 Ca 0.5930 0.5930 0.7374
7 Ca 0.4070 0.8556 0.2626